DFT (SCAN) results for a crystal of ZnPbCF2 relaxed with PBEsol.

uncorrected formation energy	0.246	eV/atom
crystal system	tetragonal

Lattice parameters (Å, degrees): 3.921 3.921 4.842 90.00 90.00 90.00
Sites, in units of the cell vectors:
Pb1 0.000 0.000 0.500
Zn1 0.500 0.500 0.500
C1 0.000 0.000 0.000
F1 0.000 0.500 0.000
F2 0.500 0.000 0.000

***

DFT (SCAN) results for a crystal of TlPdCF2 relaxed with PBEsol.

uncorrected formation energy	0.421	eV/atom
crystal system	tetragonal

Lattice parameters (Å, degrees): 3.844 3.844 4.729 90.00 90.00 90.00
Sites, in units of the cell vectors:
Tl1 0.000 0.000 0.500
C1 0.000 0.000 0.000
Pd1 0.500 0.500 0.500
F1 0.000 0.500 0.000
F2 0.500 0.000 0.000

***

DFT (SCAN) results for a crystal of PtCF2 relaxed with PBEsol.

uncorrected formation energy	0.529	eV/atom
crystal system	trigonal

Lattice parameters (Å, degrees): 2.524 2.524 9.768 82.58 82.58 60.00
Sites, in units of the cell vectors:
C1 0.000 0.000 0.000
Pt1 0.500 0.500 0.500
F1 0.953 0.953 0.141
F2 0.047 0.047 0.859

***

DFT (SCAN) results for a crystal of RbCF2 relaxed with PBEsol.

uncorrected formation energy	0.184	eV/atom
crystal system	cubic

Lattice parameters (Å, degrees): 4.366 4.366 4.366 60.00 60.00 60.00
Sites, in units of the cell vectors:
C1 0.000 0.000 0.000
Rb1 0.500 0.500 0.500
F1 0.250 0.250 0.250
F2 0.750 0.750 0.750

***

DFT (SCAN) results for a crystal of RbC3F relaxed with PBEsol.

uncorrected formation energy	3.083	eV/atom
crystal system	cubic

Lattice parameters (Å, degrees): 4.301 4.301 4.301 90.00 90.00 90.00
Sites, in units of the cell vectors:
C1 0.000 0.500 0.000
C2 0.000 0.000 0.500
C3 0.500 0.000 0.000
Rb1 0.500 0.500 0.500
F1 0.000 0.000 0.000

***

DFT (SCAN) results for a crystal of Rb3CF relaxed with PBEsol.

uncorrected formation energy	-0.229	eV/atom
relative energy among the computed polymorphs	0.000	eV/atom
crystal system	cubic

Lattice parameters (Å, degrees): 5.307 5.307 5.307 90.00 90.00 90.00
Sites, in units of the cell vectors:
C1 0.500 0.500 0.500
Rb1 0.000 0.500 0.000
Rb2 0.000 0.000 0.500
Rb3 0.500 0.000 0.000
F1 0.000 0.000 0.000

***

DFT (SCAN) results for a crystal of Rb2CF relaxed with PBEsol.

uncorrected formation energy	-0.312	eV/atom
crystal system	tetragonal

Lattice parameters (Å, degrees): 6.851 6.851 6.851 99.62 114.61 114.61
Sites, in units of the cell vectors:
C1 0.500 0.250 0.750
C2 0.000 0.500 0.500
Rb1 0.040 0.665 0.125
Rb2 0.960 0.085 0.625
Rb3 0.540 0.875 0.915
Rb4 0.460 0.375 0.335
F1 0.500 0.750 0.250
F2 0.000 0.000 0.000

***

DFT (SCAN) results for a crystal of Ru3CF relaxed with PBEsol.

uncorrected formation energy	0.608	eV/atom
crystal system	cubic

Lattice parameters (Å, degrees): 3.982 3.982 3.982 90.00 90.00 90.00
Sites, in units of the cell vectors:
Ru1 0.000 0.500 0.000
Ru2 0.000 0.000 0.500
Ru3 0.500 0.000 0.000
C1 0.000 0.000 0.000
F1 0.500 0.500 0.500

***

DFT (SCAN) results for a crystal of RuW2CF relaxed with PBEsol.

uncorrected formation energy	0.765	eV/atom
crystal system	tetragonal

Lattice parameters (Å, degrees): 3.892 4.133 4.133 90.00 90.00 90.00
Sites, in units of the cell vectors:
Ru1 0.500 0.000 0.000
C1 0.000 0.000 0.000
W1 0.000 0.000 0.500
W2 0.000 0.500 0.000
F1 0.500 0.500 0.500

***

DFT (SCAN) results for a crystal of SbC2F relaxed with PBEsol.

uncorrected formation energy	1.827	eV/atom
crystal system	cubic

Lattice parameters (Å, degrees): 3.930 3.930 3.930 60.00 60.00 60.00
Sites, in units of the cell vectors:
Sb1 0.500 0.500 0.500
C1 0.250 0.250 0.250
C2 0.750 0.750 0.750
F1 0.000 0.000 0.000

***

DFT (SCAN) results for a crystal of ScC2F relaxed with PBEsol.

uncorrected formation energy	-0.281	eV/atom
crystal system	tetragonal

Lattice parameters (Å, degrees): 2.855 2.855 9.853 98.33 98.33 90.00
Sites, in units of the cell vectors:
Sc1 0.000 0.000 0.000
Sc2 0.250 0.750 0.500
C1 0.625 0.375 0.750
C2 0.125 0.375 0.750
C3 0.625 0.875 0.250
C4 0.625 0.375 0.250
F1 0.500 0.500 0.000
F2 0.750 0.250 0.500

***

DFT (SCAN) results for a crystal of ScCF3 relaxed with PBEsol.

uncorrected formation energy	-0.514	eV/atom
crystal system	cubic

Lattice parameters (Å, degrees): 3.887 3.887 3.887 90.00 90.00 90.00
Sites, in units of the cell vectors:
Sc1 0.500 0.500 0.500
C1 0.000 0.000 0.000
F1 0.000 0.500 0.000
F2 0.000 0.000 0.500
F3 0.500 0.000 0.000

***

DFT (SCAN) results for a crystal of Sc2CF relaxed with PBEsol.

uncorrected formation energy	-1.749	eV/atom
crystal system	trigonal

Lattice parameters (Å, degrees): 3.416 3.416 6.647 75.11 75.11 60.00
Sites, in units of the cell vectors:
Sc1 0.892 0.892 0.323
Sc2 0.108 0.108 0.677
C1 0.500 0.500 0.500
F1 0.000 0.000 0.000

***

DFT (SCAN) results for a crystal of Sc2CSeF relaxed with PBEsol.

uncorrected formation energy	-0.360	eV/atom
crystal system	tetragonal

Lattice parameters (Å, degrees): 3.539 4.519 4.519 90.00 90.00 90.00
Sites, in units of the cell vectors:
Sc1 0.000 0.000 0.500
Sc2 0.000 0.500 0.000
C1 0.500 0.000 0.000
Se1 0.500 0.500 0.500
F1 0.000 0.000 0.000

***

DFT (SCAN) results for a crystal of CSe3F relaxed with PBEsol.

uncorrected formation energy	0.995	eV/atom
crystal system	cubic

Lattice parameters (Å, degrees): 4.305 4.305 4.305 90.00 90.00 90.00
Sites, in units of the cell vectors:
C1 0.000 0.000 0.000
Se1 0.000 0.500 0.000
Se2 0.000 0.000 0.500
Se3 0.500 0.000 0.000
F1 0.500 0.500 0.500

***

DFT (SCAN) results for a crystal of YC2SeF relaxed with PBEsol.

uncorrected formation energy	1.093	eV/atom
crystal system	tetragonal

Lattice parameters (Å, degrees): 4.185 4.185 4.221 90.00 90.00 90.00
Sites, in units of the cell vectors:
Y1 0.000 0.000 0.500
C1 0.000 0.500 0.000
C2 0.500 0.000 0.000
Se1 0.500 0.500 0.500
F1 0.000 0.000 0.000

***

DFT (SCAN) results for a crystal of SiCF3 relaxed with PBEsol.

uncorrected formation energy	-0.249	eV/atom
crystal system	cubic

Lattice parameters (Å, degrees): 3.811 3.811 3.811 90.00 90.00 90.00
Sites, in units of the cell vectors:
Si1 0.500 0.500 0.500
C1 0.000 0.000 0.000
F1 0.000 0.500 0.500
F2 0.500 0.000 0.500
F3 0.500 0.500 0.000

***

DFT (SCAN) results for a crystal of SnCF3 relaxed with PBEsol.

uncorrected formation energy	-0.114	eV/atom
crystal system	cubic

Lattice parameters (Å, degrees): 3.991 3.991 3.991 90.00 90.00 90.00
Sites, in units of the cell vectors:
C1 0.000 0.000 0.000
Sn1 0.500 0.500 0.500
F1 0.000 0.500 0.000
F2 0.000 0.000 0.500
F3 0.500 0.000 0.000

***

DFT (SCAN) results for a crystal of SrC3F relaxed with PBEsol.

uncorrected formation energy	3.290	eV/atom
crystal system	cubic

Lattice parameters (Å, degrees): 5.243 5.243 5.243 90.00 90.00 90.00
Sites, in units of the cell vectors:
Sr1 0.000 0.000 0.000
C1 0.000 0.500 0.000
C2 0.000 0.000 0.500
C3 0.500 0.000 0.000
F1 0.500 0.500 0.500

***

DFT (SCAN) results for a crystal of Ta2CF relaxed with PBEsol.

uncorrected formation energy	-0.158	eV/atom
crystal system	tetragonal

Lattice parameters (Å, degrees): 5.101 5.764 5.101 63.74 90.00 116.26
Sites, in units of the cell vectors:
C1 0.250 0.500 0.250
C2 0.500 0.000 0.500
F1 0.750 0.500 0.750
F2 0.000 0.000 0.000
Ta1 0.584 0.750 0.375
Ta2 0.166 0.750 0.875
Ta3 0.875 0.250 0.584
Ta4 0.375 0.250 0.166